Run i
Entry from Alexandria: crystalline Sr2ZnW at its relaxed geometry (PBE).

Output
The value obtained for the magnetic moment is 2.493 μB/cell. The calculation puts the theoretical density at 6.20 g/cm3. The value obtained for the volume is 28.43 A^3/atom.

POSCAR file:
```
Sr2ZnW
1.0
0.000 3.845 3.845
3.845 0.000 3.845
3.845 3.845 0.000
Sr Zn W
2 1 1
Direct
0.250 0.250 0.250 Sr
0.750 0.750 0.750 Sr
0.000 0.000 0.000 Zn
0.500 0.500 0.500 W
```

***

Run ii
Entry from Alexandria: crystalline Sr2ZnW at its relaxed geometry (PBE).

Output
The value obtained for the magnetic moment is 0.001 μB/cell. The calculation puts the theoretical density at 6.62 g/cm3. The value obtained for the volume is 26.61 A^3/atom.

POSCAR file:
```
Sr2ZnW
1.0
6.033 -1.615 0.000
6.033 1.615 0.000
-1.931 0.000 5.461
Sr Zn W
2 1 1
Direct
0.000 0.000 0.000 Sr
0.196 0.196 0.623 Sr
0.432 0.432 0.451 Zn
0.767 0.767 0.177 W
```

***

Which of them is the least stable? Correct choice: run i.

***

Run i
Entry from Alexandria: crystalline Sr2ZrW at its relaxed geometry (PBE).

Output
The value obtained for the magnetic moment is 0.000 μB/cell. The calculation puts the theoretical density at 5.39 g/cm3. The value obtained for the volume is 34.67 A^3/atom.

POSCAR file:
```
Sr2ZrW
1.0
-1.684 2.165 9.508
1.684 -2.165 9.508
1.684 2.165 -9.508
Sr Zr W
2 1 1
Direct
0.157 0.157 0.000 Sr
0.843 0.843 0.000 Sr
0.500 0.000 0.500 Zr
0.000 0.500 0.500 W
```

***

Run ii
Entry from Alexandria: crystalline Sr2ZrW at its relaxed geometry (PBE).

Output
The value obtained for the magnetic moment is 0.408 μB/cell. The calculation puts the theoretical density at 6.36 g/cm3. The value obtained for the volume is 29.41 A^3/atom.

POSCAR file:
```
Sr2ZrW
1.0
0.000 3.889 3.889
3.889 0.000 3.889
3.889 3.889 0.000
Sr Zr W
2 1 1
Direct
0.250 0.250 0.250 Sr
0.750 0.750 0.750 Sr
0.000 0.000 0.000 Zr
0.500 0.500 0.500 W
```

***

Which of them is the least stable? Correct choice: run ii.

***

Run i
Entry from Alexandria: crystalline Sr2ZrW at its relaxed geometry (PBE).

Output
The value obtained for the magnetic moment is 0.408 μB/cell. The calculation puts the theoretical density at 7.05 g/cm3. The value obtained for the volume is 26.52 A^3/atom.

POSCAR file:
```
Sr2ZrW
1.0
-2.188 2.188 5.541
2.188 -2.188 5.541
2.188 2.188 -5.541
Sr Zr W
2 1 1
Direct
0.250 0.750 0.500 Sr
0.750 0.250 0.500 Sr
0.000 0.000 0.000 Zr
0.500 0.500 0.000 W
```

***

Run ii
Entry from Alexandria: crystalline Sr2ZrW at its relaxed geometry (PBE).

Output
The value obtained for the magnetic moment is 0.000 μB/cell. The calculation puts the theoretical density at 7.11 g/cm3. The value obtained for the volume is 26.28 A^3/atom.

POSCAR file:
```
Sr2ZrW
1.0
-2.644 2.644 3.759
2.644 -2.644 3.759
2.644 2.644 -3.759
Sr Zr W
2 1 1
Direct
0.000 0.000 0.000 Sr
0.750 0.250 0.500 Sr
0.500 0.500 0.000 Zr
0.250 0.750 0.500 W
```

***

Which of them is the least stable? Correct choice: run i.

***

Run i
Entry from Alexandria: crystalline Sr2ZrW at its relaxed geometry (PBE).

Output
The value obtained for the magnetic moment is 0.000 μB/cell. The calculation puts the theoretical density at 7.09 g/cm3. The value obtained for the volume is 26.36 A^3/atom.

POSCAR file:
```
Sr2ZrW
1.0
3.088 0.000 0.000
0.000 5.532 0.000
-0.018 0.000 6.174
Sr Zr W
2 1 1
Direct
0.000 0.000 0.241 Sr
0.000 0.000 0.759 Sr
0.500 0.500 0.500 Zr
0.500 0.500 0.000 W
```

***

Run ii
Entry from Alexandria: crystalline Sr2ZrW at its relaxed geometry (PBE).

Output
The value obtained for the magnetic moment is 0.000 μB/cell. The calculation puts the theoretical density at 4.40 g/cm3. The value obtained for the volume is 42.47 A^3/atom.

POSCAR file:
```
Sr2ZrW
1.0
-5.872 5.872 2.463
5.872 -5.872 2.463
5.872 5.872 -2.463
Sr Zr W
4 2 2
Direct
0.375 0.215 0.340 Sr
0.785 0.125 0.160 Sr
0.875 0.035 0.660 Sr
0.965 0.625 0.840 Sr
0.250 0.750 0.500 Zr
0.500 0.500 0.000 Zr
0.000 0.000 0.000 W
0.750 0.250 0.500 W
```

***

Run iii
Entry from Alexandria: crystalline Sr2ZrW at its relaxed geometry (PBE).

Output
The value obtained for the magnetic moment is 0.000 μB/cell. The calculation puts the theoretical density at 6.08 g/cm3. The value obtained for the volume is 30.76 A^3/atom.

POSCAR file:
```
Sr2ZrW
1.0
-1.736 3.056 5.796
1.736 -3.056 5.796
1.736 3.056 -5.796
Sr Zr W
2 1 1
Direct
0.000 0.000 0.000 Sr
0.697 0.197 0.500 Sr
0.405 0.405 0.000 Zr
0.239 0.739 0.500 W
```

***

Run iv
Entry from Alexandria: crystalline Sr2ZrW at its relaxed geometry (PBE).

Output
The value obtained for the magnetic moment is 0.000 μB/cell. The calculation puts the theoretical density at 5.57 g/cm3. The value obtained for the volume is 33.56 A^3/atom.

POSCAR file:
```
Sr2ZrW
1.0
4.552 -1.709 0.000
4.552 1.709 0.000
-0.564 0.000 8.629
Sr Zr W
2 1 1
Direct
0.000 0.000 0.000 Sr
0.224 0.224 0.607 Sr
0.755 0.755 0.268 Zr
0.486 0.486 0.343 W
```

***

Which of them is the least stable? Correct choice: run ii.

***

Run i
Entry from Alexandria: crystalline Sr2ZrW at its relaxed geometry (PBE).

Output
The value obtained for the magnetic moment is 0.196 μB/cell. The calculation puts the theoretical density at 7.05 g/cm3. The value obtained for the volume is 26.52 A^3/atom.

POSCAR file:
```
Sr2ZrW
1.0
4.369 0.000 0.000
0.000 4.384 0.000
0.000 0.000 5.537
Sr Zr W
2 1 1
Direct
0.000 0.000 0.000 Sr
0.500 0.500 0.000 Sr
0.000 0.500 0.500 Zr
0.500 0.000 0.500 W
```

***

Run ii
Entry from Alexandria: crystalline Sr2ZrW at its relaxed geometry (PBE).

Output
The value obtained for the magnetic moment is 0.000 μB/cell. The calculation puts the theoretical density at 5.83 g/cm3. The value obtained for the volume is 32.05 A^3/atom.

POSCAR file:
```
Sr2ZrW
1.0
3.293 0.000 0.000
0.000 4.594 0.000
-1.195 0.000 8.475
Sr Zr W
2 1 1
Direct
0.000 0.000 0.000 Sr
0.307 0.500 0.621 Sr
0.553 0.000 0.355 Zr
0.787 0.500 0.263 W
```

***

Run iii
Entry from Alexandria: crystalline Sr2ZrW at its relaxed geometry (PBE).

Output
The value obtained for the magnetic moment is 0.000 μB/cell. The calculation puts the theoretical density at 7.12 g/cm3. The value obtained for the volume is 26.27 A^3/atom.

POSCAR file:
```
Sr2ZrW
1.0
3.058 -5.578 0.000
3.058 5.578 0.000
-0.047 0.000 3.080
Sr Zr W
2 1 1
Direct
0.000 0.500 0.000 Sr
0.500 0.000 0.000 Sr
0.000 0.000 0.500 Zr
0.500 0.500 0.500 W
```

***

Run iv
Entry from Alexandria: crystalline Sr2ZrW at its relaxed geometry (PBE).

Output
The value obtained for the magnetic moment is 0.000 μB/cell. The calculation puts the theoretical density at 5.90 g/cm3. The value obtained for the volume is 31.67 A^3/atom.

POSCAR file:
```
Sr2ZrW
1.0
3.679 0.000 0.000
0.000 3.679 0.000
0.000 0.000 9.359
Sr Zr W
2 1 1
Direct
0.000 0.000 0.000 Sr
0.500 0.500 0.379 Sr
0.500 0.500 0.736 Zr
0.000 0.000 0.624 W
```

***

Which of them is the least stable? Correct choice: run iii.

***

Run i
Entry from Alexandria: crystalline SrZr3W at its relaxed geometry (PBE).

Output
The value obtained for the magnetic moment is 0.000 μB/cell. The calculation puts the theoretical density at 6.25 g/cm3. The value obtained for the volume is 28.97 A^3/atom.

POSCAR file:
```
SrZr3W
1.0
5.252 0.000 0.000
0.000 5.252 0.000
0.000 0.000 5.252
Sr Zr W
1 3 1
Direct
0.000 0.000 0.000 Sr
0.000 0.500 0.500 Zr
0.500 0.000 0.500 Zr
0.500 0.500 0.000 Zr
0.500 0.500 0.500 W
```

***

Run ii
Entry from Alexandria: crystalline SrZr3W at its relaxed geometry (PBE).

Output
The value obtained for the magnetic moment is 0.000 μB/cell. The calculation puts the theoretical density at 7.38 g/cm3. The value obtained for the volume is 24.53 A^3/atom.

POSCAR file:
```
SrZr3W
1.0
4.969 0.000 0.000
0.000 4.969 0.000
0.000 0.000 4.969
Sr Zr W
1 3 1
Direct
0.000 0.000 0.000 Sr
0.000 0.000 0.500 Zr
0.000 0.500 0.000 Zr
0.500 0.000 0.000 Zr
0.500 0.500 0.500 W
```

***

Which of them is the least stable? Correct choice: run ii.

***

Run i
Entry from Alexandria: crystalline Sr3Y at its relaxed geometry (PBE).

Output
The value obtained for the magnetic moment is 1.097 μB/cell. The calculation puts the theoretical density at 3.12 g/cm3. The value obtained for the volume is 46.79 A^3/atom.

POSCAR file:
```
Sr3Y
1.0
6.823 -2.043 0.000
6.823 2.043 0.000
-1.609 0.000 6.715
Sr Y
3 1
Direct
0.000 0.000 0.000 Sr
0.240 0.240 0.736 Sr
0.760 0.760 0.264 Sr
0.500 0.500 0.500 Y
```

***

Run ii
Entry from Alexandria: crystalline Sr3Y at its relaxed geometry (PBE).

Output
The value obtained for the magnetic moment is 0.000 μB/cell. The calculation puts the theoretical density at 3.14 g/cm3. The value obtained for the volume is 46.47 A^3/atom.

POSCAR file:
```
Sr3Y
1.0
4.271 0.000 0.000
0.000 4.271 0.000
0.000 0.000 10.189
Sr Y
3 1
Direct
0.000 0.000 0.000 Sr
0.500 0.500 0.281 Sr
0.500 0.500 0.719 Sr
0.000 0.000 0.500 Y
```

***

Which of them is the least stable? Correct choice: run i.

***

Run i
Entry from Alexandria: crystalline Sr3Y at its relaxed geometry (PBE).

Output
The value obtained for the magnetic moment is 4.206 μB/cell. The calculation puts the theoretical density at 1.82 g/cm3. The value obtained for the volume is 80.34 A^3/atom.

POSCAR file:
```
Sr3Y
1.0
6.850 0.000 0.000
0.000 6.850 0.000
0.000 0.000 6.850
Sr Y
3 1
Direct
0.000 0.000 0.500 Sr
0.000 0.500 0.000 Sr
0.500 0.000 0.000 Sr
0.000 0.000 0.000 Y
```

***

Run ii
Entry from Alexandria: crystalline Sr3Y at its relaxed geometry (PBE).

Output
The value obtained for the magnetic moment is 0.000 μB/cell. The calculation puts the theoretical density at 3.21 g/cm3. The value obtained for the volume is 45.55 A^3/atom.

POSCAR file:
```
Sr3Y
1.0
3.883 0.000 0.000
0.000 6.317 0.000
-1.428 0.000 7.428
Sr Y
3 1
Direct
0.000 0.000 0.000 Sr
0.260 0.500 0.737 Sr
0.740 0.500 0.263 Sr
0.500 0.000 0.500 Y
```

***

Run iii
Entry from Alexandria: crystalline Sr3Y at its relaxed geometry (PBE).

Output
The value obtained for the magnetic moment is 0.001 μB/cell. The calculation puts the theoretical density at 3.19 g/cm3. The value obtained for the volume is 45.83 A^3/atom.

POSCAR file:
```
Sr3Y
1.0
2.242 -3.192 0.000
2.242 3.192 0.000
0.000 0.000 12.808
Sr Y
3 1
Direct
0.000 0.000 0.000 Sr
0.500 0.500 0.268 Sr
0.500 0.500 0.732 Sr
0.000 0.000 0.500 Y
```

***

Which of them is the least stable? Correct choice: run i.